# 1
# PBE HgRhCl2, relaxed
data_HgRhCl2
_cell_length_a 3.377
_cell_length_b 5.766
_cell_length_c 4.157
_cell_angle_alpha 90.00
_cell_angle_beta 90.00
_cell_angle_gamma 90.00
_symmetry_space_group_name_H-M 'P 1'
_symmetry_Int_Tables_number 1
loop_
_symmetry_equiv_pos_as_xyz
'x,y,z'
loop_
_atom_site_label
_atom_site_fract_x
_atom_site_fract_y
_atom_site_fract_z
_atom_site_occupancy
Rh1 0.000 0.500 0.500 1
Hg1 0.500 0.000 0.500 1
Cl1 0.000 0.000 0.000 1
Cl2 0.500 0.500 0.000 1
# Formation energy without anion corrections ... 287 meV/atom
# Volume ... 80.96 Å³ per cell
# Symmetry ... Pmmm (47)
# Density ... 7.680 Mg/m³
# Total magnetization ... 0.72 μB/f.u.
# Offset from the most stable computed form ... 585 meV per atom

---

# 2
# PBE KCd10Hg2, relaxed
data_KCd10Hg2
_cell_length_a 7.951
_cell_length_b 7.951
_cell_length_c 10.358
_cell_angle_alpha 90.00
_cell_angle_beta 90.00
_cell_angle_gamma 100.29
_symmetry_space_group_name_H-M 'P 1'
_symmetry_Int_Tables_number 1
loop_
_symmetry_equiv_pos_as_xyz
'x,y,z'
loop_
_atom_site_label
_atom_site_fract_x
_atom_site_fract_y
_atom_site_fract_z
_atom_site_occupancy
K1 0.869 0.131 0.750 1
K2 0.131 0.869 0.250 1
Cd1 0.397 0.164 0.750 1
Cd2 0.603 0.836 0.250 1
Cd3 0.836 0.603 0.750 1
Cd4 0.164 0.397 0.250 1
Cd5 0.520 0.771 0.750 1
Cd6 0.480 0.229 0.250 1
Cd7 0.229 0.480 0.750 1
Cd8 0.771 0.520 0.250 1
Cd9 0.851 0.149 0.392 1
Cd10 0.149 0.851 0.892 1
Cd11 0.851 0.149 0.108 1
Cd12 0.149 0.851 0.608 1
Cd13 0.615 0.385 0.957 1
Cd14 0.385 0.615 0.457 1
Cd15 0.615 0.385 0.543 1
Cd16 0.385 0.615 0.043 1
Cd17 0.784 0.784 0.000 1
Cd18 0.216 0.216 0.500 1
Cd19 0.216 0.216 0.000 1
Cd20 0.784 0.784 0.500 1
Hg1 0.500 0.000 0.000 1
Hg2 0.500 0.000 0.500 1
Hg3 0.000 0.500 0.500 1
Hg4 0.000 0.500 0.000 1
# Volume ... 644.28 Å³ per cell
# Symmetry ... Cmcm (63)
# Density ... 8.064 Mg/m³
# Total magnetization ... 0.00 μB/f.u.
# Offset from the most stable computed form ... 0 meV per atom
# Formation energy from the elements ... -0.032 eV per atom

---

# 3
# PBE ZrFe4Ni15, relaxed
data_ZrFe4Ni15
_cell_length_a 3.607
_cell_length_b 3.607
_cell_length_c 17.752
_cell_angle_alpha 90.00
_cell_angle_beta 90.00
_cell_angle_gamma 90.00
_symmetry_space_group_name_H-M 'P 1'
_symmetry_Int_Tables_number 1
loop_
_symmetry_equiv_pos_as_xyz
'x,y,z'
loop_
_atom_site_label
_atom_site_fract_x
_atom_site_fract_y
_atom_site_fract_z
_atom_site_occupancy
Zr1 0.000 0.000 0.000 1
Fe1 0.000 0.000 0.208 1
Fe2 0.000 0.000 0.402 1
Fe3 0.000 0.000 0.598 1
Fe4 0.000 0.000 0.792 1
Ni1 0.500 0.500 0.000 1
Ni2 0.500 0.500 0.207 1
Ni3 0.500 0.500 0.402 1
Ni4 0.500 0.500 0.598 1
Ni5 0.500 0.500 0.793 1
Ni6 0.500 0.000 0.110 1
Ni7 0.500 0.000 0.305 1
Ni8 0.500 0.000 0.500 1
Ni9 0.500 0.000 0.695 1
Ni10 0.500 0.000 0.890 1
Ni11 0.000 0.500 0.110 1
Ni12 0.000 0.500 0.305 1
Ni13 0.000 0.500 0.500 1
Ni14 0.000 0.500 0.695 1
Ni15 0.000 0.500 0.890 1
# Volume ... 230.95 Å³ per cell
# Symmetry ... P4/mmm (123)
# Density ... 8.592 Mg/m³
# Total magnetization ... 0.48 μB/f.u.
# Formation energy from the elements ... -0.116 eV per atom

---

# 4
# PBE Nd5SmTm3, relaxed
data_Nd5SmTm3
_cell_length_a 9.234
_cell_length_b 9.234
_cell_length_c 9.751
_cell_angle_alpha 118.26
_cell_angle_beta 118.26
_cell_angle_gamma 90.00
_symmetry_space_group_name_H-M 'P 1'
_symmetry_Int_Tables_number 1
loop_
_symmetry_equiv_pos_as_xyz
'x,y,z'
loop_
_atom_site_label
_atom_site_fract_x
_atom_site_fract_y
_atom_site_fract_z
_atom_site_occupancy
Nd1 0.068 0.568 0.736 1
Nd2 0.668 0.168 0.736 1
Nd3 0.168 0.068 0.736 1
Nd4 0.568 0.668 0.736 1
Nd5 0.932 0.432 0.264 1
Nd6 0.332 0.832 0.264 1
Nd7 0.832 0.932 0.264 1
Nd8 0.432 0.332 0.264 1
Nd9 0.500 0.500 0.000 1
Nd10 0.000 0.000 0.000 1
Sm1 0.750 0.250 0.500 1
Sm2 0.250 0.750 0.500 1
Tm1 0.611 0.111 0.000 1
Tm2 0.389 0.889 0.000 1
Tm3 0.889 0.611 0.000 1
Tm4 0.111 0.389 0.000 1
Tm5 0.250 0.250 0.500 1
Tm6 0.750 0.750 0.500 1
# Volume ... 617.59 Å³ per cell
# Symmetry ... I4/mcm (140)
# Density ... 7.412 Mg/m³
# Total magnetization ... 0.00 μB/f.u.
# Offset from the most stable computed form ... 127 meV per atom
# Formation energy from the elements ... 0.305 eV per atom

---

- Look up the volume of the third one.
  230.95 Å³ per cell

---

What did the third record say?
# PBE ZrFe4Ni15, relaxed
data_ZrFe4Ni15
_cell_length_a 3.607
_cell_length_b 3.607
_cell_length_c 17.752
_cell_angle_alpha 90.00
_cell_angle_beta 90.00
_cell_angle_gamma 90.00
_symmetry_space_group_name_H-M 'P 1'
_symmetry_Int_Tables_number 1
loop_
_symmetry_equiv_pos_as_xyz
'x,y,z'
loop_
_atom_site_label
_atom_site_fract_x
_atom_site_fract_y
_atom_site_fract_z
_atom_site_occupancy
Zr1 0.000 0.000 0.000 1
Fe1 0.000 0.000 0.208 1
Fe2 0.000 0.000 0.402 1
Fe3 0.000 0.000 0.598 1
Fe4 0.000 0.000 0.792 1
Ni1 0.500 0.500 0.000 1
Ni2 0.500 0.500 0.207 1
Ni3 0.500 0.500 0.402 1
Ni4 0.500 0.500 0.598 1
Ni5 0.500 0.500 0.793 1
Ni6 0.500 0.000 0.110 1
Ni7 0.500 0.000 0.305 1
Ni8 0.500 0.000 0.500 1
Ni9 0.500 0.000 0.695 1
Ni10 0.500 0.000 0.890 1
Ni11 0.000 0.500 0.110 1
Ni12 0.000 0.500 0.305 1
Ni13 0.000 0.500 0.500 1
Ni14 0.000 0.500 0.695 1
Ni15 0.000 0.500 0.890 1
# Volume ... 230.95 Å³ per cell
# Symmetry ... P4/mmm (123)
# Density ... 8.592 Mg/m³
# Total magnetization ... 0.48 μB/f.u.
# Formation energy from the elements ... -0.116 eV per atom

---

Repeat the second record exactly.
# PBE KCd10Hg2, relaxed
data_KCd10Hg2
_cell_length_a 7.951
_cell_length_b 7.951
_cell_length_c 10.358
_cell_angle_alpha 90.00
_cell_angle_beta 90.00
_cell_angle_gamma 100.29
_symmetry_space_group_name_H-M 'P 1'
_symmetry_Int_Tables_number 1
loop_
_symmetry_equiv_pos_as_xyz
'x,y,z'
loop_
_atom_site_label
_atom_site_fract_x
_atom_site_fract_y
_atom_site_fract_z
_atom_site_occupancy
K1 0.869 0.131 0.750 1
K2 0.131 0.869 0.250 1
Cd1 0.397 0.164 0.750 1
Cd2 0.603 0.836 0.250 1
Cd3 0.836 0.603 0.750 1
Cd4 0.164 0.397 0.250 1
Cd5 0.520 0.771 0.750 1
Cd6 0.480 0.229 0.250 1
Cd7 0.229 0.480 0.750 1
Cd8 0.771 0.520 0.250 1
Cd9 0.851 0.149 0.392 1
Cd10 0.149 0.851 0.892 1
Cd11 0.851 0.149 0.108 1
Cd12 0.149 0.851 0.608 1
Cd13 0.615 0.385 0.957 1
Cd14 0.385 0.615 0.457 1
Cd15 0.615 0.385 0.543 1
Cd16 0.385 0.615 0.043 1
Cd17 0.784 0.784 0.000 1
Cd18 0.216 0.216 0.500 1
Cd19 0.216 0.216 0.000 1
Cd20 0.784 0.784 0.500 1
Hg1 0.500 0.000 0.000 1
Hg2 0.500 0.000 0.500 1
Hg3 0.000 0.500 0.500 1
Hg4 0.000 0.500 0.000 1
# Volume ... 644.28 Å³ per cell
# Symmetry ... Cmcm (63)
# Density ... 8.064 Mg/m³
# Total magnetization ... 0.00 μB/f.u.
# Offset from the most stable computed form ... 0 meV per atom
# Formation energy from the elements ... -0.032 eV per atom